(1)
The following is a GGA-PBE calculation of crystalline PmZrP2 at its relaxed geometry, from Alexandria.

Cell lengths 6.8646, 6.8646, 6.8646 Å; angles 33.02, 33.02, 33.02 degrees
Last column: nearest neighbours and their distance in Å.
Element x y z (fractional)
Pm (0.0000, 0.0000, 0.0000)  6 P 2.86
Zr (0.5000, 0.5000, 0.5000)  6 P 2.69
P (0.2424, 0.2424, 0.2424)  3 Zr 2.69, 3 Pm 2.86
P (0.7576, 0.7576, 0.7576)  3 Zr 2.69, 3 Pm 2.86

Summary:
The formation energy comes out at -1.45 eV/atom. The space group is No. 166.

***

(2)
The following is a GGA-PBE calculation of crystalline PmZrP2 at its relaxed geometry, from Alexandria.

Cell lengths 7.1408, 7.1408, 7.1408 Å; angles 31.21, 31.21, 31.21 degrees
Last column: nearest neighbours and their distance in Å.
Element x y z (fractional)
Pm (0.0000, 0.0000, 0.0000)  6 P 2.85-2.96
Zr (0.1743, 0.1743, 0.1743)  6 P 2.65-2.73
P (0.5790, 0.5790, 0.5790)  3 Zr 2.65, 3 Pm 2.85
P (0.7631, 0.7631, 0.7631)  3 Zr 2.73, 3 Pm 2.96

Summary:
The formation energy comes out at -1.34 eV/atom. The space group is No. 160.

***

(3)
The following is a GGA-PBE calculation of crystalline PrP at its relaxed geometry, from Alexandria.

Cell lengths 4.2044, 4.2044, 4.2044 Å; angles 60.00, 60.00, 60.00 degrees
Last column: nearest neighbours and their distance in Å.
Element x y z (fractional)
Pr (0.0000, 0.0000, 0.0000)  6 P 2.97
P (0.5000, 0.5000, 0.5000)  6 Pr 2.97

Summary:
The formation energy comes out at -1.52 eV/atom. The space group is No. 225.

***

(4)
The following is a GGA-PBE calculation of crystalline PrP4 at its relaxed geometry, from Alexandria.

Cell lengths 5.4635, 5.4635, 5.4635 Å; angles 90.00, 90.00, 90.00 degrees
Last column: nearest neighbours and their distance in Å.
Element x y z (fractional)
Pr (0.0000, 0.0000, 0.0000)  6 P 2.73
P (0.0000, 0.0000, 0.5000)  2 Pr 2.73
P (0.0000, 0.5000, 0.0000)  2 Pr 2.73
P (0.5000, 0.0000, 0.0000)  2 Pr 2.73
P (0.5000, 0.5000, 0.5000)  12 P 3.86

Summary:
The formation energy comes out at 1.44 eV/atom. The space group is No. 221.

***

(5)
The following is a GGA-PBE calculation of crystalline Pr4P at its relaxed geometry, from Alexandria.

Cell lengths 5.6565, 5.6565, 5.6565 Å; angles 90.00, 90.00, 90.00 degrees
Last column: nearest neighbours and their distance in Å.
Element x y z (fractional)
Pr (0.0000, 0.0000, 0.0000)  12 Pr 4.00
Pr (0.0000, 0.5000, 0.5000)  2 P 2.83
Pr (0.5000, 0.0000, 0.5000)  2 P 2.83
Pr (0.5000, 0.5000, 0.0000)  2 P 2.83
P (0.5000, 0.5000, 0.5000)  6 Pr 2.83

Summary:
The formation energy comes out at -0.39 eV/atom. The space group is No. 221.

***

(6)
The following is a GGA-PBE calculation of crystalline Pr3P at its relaxed geometry, from Alexandria.

Cell lengths 6.0961, 6.0961, 6.0961 Å; angles 142.96, 76.77, 115.51 degrees
Last column: nearest neighbours and their distance in Å.
Element x y z (fractional)
Pr (0.0000, 0.0000, 0.0000)  2 P 2.87
Pr (0.3678, 0.5557, 0.8120)  2 P 3.04
Pr (0.7437, 0.5557, 0.1880)  2 P 3.04
P (0.3251, 0.8251, 0.5000)  6 Pr 2.87-3.04

Summary:
The formation energy comes out at -0.59 eV/atom. The space group is No. 44.

***

(7)
The following is a GGA-PBE calculation of crystalline Pr3P2 at its relaxed geometry, from Alexandria.

Cell lengths 7.9527, 7.9527, 7.9527 Å; angles 53.38, 53.38, 53.38 degrees
Last column: nearest neighbours and their distance in Å.
Element x y z (fractional)
Pr (0.0753, 0.7500, 0.4247)  4 P 2.89-2.94
Pr (0.2500, 0.5753, 0.9247)  4 P 2.89-2.94
Pr (0.4247, 0.0753, 0.7500)  4 P 2.89-2.94
Pr (0.5753, 0.9247, 0.2500)  4 P 2.89-2.94
Pr (0.7500, 0.4247, 0.0753)  4 P 2.89-2.94
Pr (0.9247, 0.2500, 0.5753)  4 P 2.89-2.94
P (0.1617, 0.1617, 0.1617)  6 Pr 2.89-2.94
P (0.3383, 0.3383, 0.3383)  6 Pr 2.89-2.94
P (0.6617, 0.6617, 0.6617)  6 Pr 2.89-2.94
P (0.8383, 0.8383, 0.8383)  6 Pr 2.89-2.94

Summary:
The formation energy comes out at -1.12 eV/atom. The space group is No. 167.

***

(8)
The following is a GGA-PBE calculation of crystalline PrP2 at its relaxed geometry, from Alexandria.

Cell lengths 4.0542, 6.6148, 10.2392 Å; angles 90.00, 105.54, 90.00 degrees
Last column: nearest neighbours and their distance in Å.
Element x y z (fractional)
Pr (0.0805, 0.1826, 0.3585)  9 P 2.93-3.19
Pr (0.0805, 0.3174, 0.8585)  9 P 2.93-3.19
Pr (0.9195, 0.6826, 0.1415)  9 P 2.93-3.19
Pr (0.9195, 0.8174, 0.6415)  9 P 2.93-3.19
P (0.3040, 0.6211, 0.4542)  2 P 2.23-2.27
P (0.3040, 0.8789, 0.9542)  2 P 2.23-2.27
P (0.4646, 0.1635, 0.6629)  1 P 2.23
P (0.4646, 0.3365, 0.1629)  1 P 2.23
P (0.5354, 0.6635, 0.8371)  1 P 2.23
P (0.5354, 0.8365, 0.3371)  1 P 2.23
P (0.6960, 0.1211, 0.0458)  2 P 2.23-2.27
P (0.6960, 0.3789, 0.5458)  2 P 2.23-2.27

Summary:
The formation energy comes out at -1.02 eV/atom. The space group is No. 14.

***

(9)
The following is a GGA-PBE calculation of crystalline Pr3P at its relaxed geometry, from Alexandria.

Cell lengths 3.7725, 3.8336, 9.3500 Å; angles 90.00, 90.00, 90.00 degrees
Last column: nearest neighbours and their distance in Å.
Element x y z (fractional)
Pr (0.0000, 0.0000, 0.0000)  2 P 2.93
Pr (0.0000, 0.5000, 0.3610)  4 P 2.92
Pr (0.5000, 0.5000, 0.7103)  10 Pr 3.77-3.83
P (0.5000, 0.0000, 0.2401)  6 Pr 2.92-2.93

Summary:
The formation energy comes out at -0.42 eV/atom. The space group is No. 25.

***

(10)
The following is a GGA-PBE calculation of crystalline Pr3P2 at its relaxed geometry, from Alexandria.

Cell lengths 10.4578, 10.4578, 10.4578 Å; angles 22.92, 22.92, 22.92 degrees
Last column: nearest neighbours and their distance in Å.
Element x y z (fractional)
Pr (0.0000, 0.0000, 0.0000)  6 P 2.97
Pr (0.2252, 0.2252, 0.2252)  3 P 2.86
Pr (0.7748, 0.7748, 0.7748)  3 P 2.86
P (0.3907, 0.3907, 0.3907)  6 Pr 2.86-2.97
P (0.6093, 0.6093, 0.6093)  6 Pr 2.86-2.97

Summary:
The formation energy comes out at -1.17 eV/atom. The space group is No. 166.

***

(11)
The following is a GGA-PBE calculation of crystalline PrP2Pt3 at its relaxed geometry, from Alexandria.

Cell lengths 7.8785, 7.8785, 7.5384 Å; angles 116.15, 116.15, 30.50 degrees
Last column: nearest neighbours and their distance in Å.
Element x y z (fractional)
Pr (0.1532, 0.1532, 0.0612)  5 P 2.98-3.08, 5 Pt 3.11-3.28
Pr (0.8468, 0.8468, 0.9388)  5 P 2.98-3.08, 5 Pt 3.11-3.28
P (0.1887, 0.1887, 0.7031)  4 Pt 2.33-2.52
P (0.4904, 0.4904, 0.8350)  1 P 2.37, 4 Pt 2.42-2.51
P (0.5096, 0.5096, 0.1650)  1 P 2.37, 4 Pt 2.42-2.51
P (0.8113, 0.8113, 0.2969)  4 Pt 2.33-2.52
Pt (0.0493, 0.0493, 0.3527)  3 P 2.42-2.52
Pt (0.3143, 0.3143, 0.6072)  2 P 2.33-2.43
Pt (0.3948, 0.3948, 0.3211)  3 P 2.39-2.51
Pt (0.6052, 0.6052, 0.6789)  3 P 2.39-2.51
Pt (0.6857, 0.6857, 0.3928)  2 P 2.33-2.43
Pt (0.9507, 0.9507, 0.6473)  3 P 2.42-2.52

Summary:
The formation energy comes out at -0.84 eV/atom. The space group is No. 12.

***

(12)
The following is a GGA-PBE calculation of crystalline PrP2Pt5 at its relaxed geometry, from Alexandria.

Cell lengths 6.2525, 6.2525, 6.2525 Å; angles 140.93, 112.30, 81.03 degrees
Last column: nearest neighbours and their distance in Å.
Element x y z (fractional)
Pr (0.0000, 0.0000, 0.0000)  4 P 3.19, 10 Pt 3.25-3.48
P (0.2534, 0.7534, 0.5000)  3 Pt 2.27-2.34
P (0.7466, 0.2466, 0.5000)  3 Pt 2.27-2.34
Pt (0.1440, 0.3504, 0.7935)  1 P 2.27
Pt (0.4431, 0.6496, 0.7935)  1 P 2.27
Pt (0.5000, 0.0000, 0.5000)  2 P 2.34
Pt (0.5569, 0.3504, 0.2065)  1 P 2.27
Pt (0.8560, 0.6496, 0.2065)  1 P 2.27

Summary:
The formation energy comes out at -0.72 eV/atom. The space group is No. 71.